Record 1
The following is a DFT calculation (PBE) of an optimized crystal structure of SnHIr2Ru.

Unit cell a=3.9944 b=3.9944 c=4.0821 alpha=90.00 beta=90.00 gamma=90.00
Closest atoms and distances in Å follow each position.
Element x y z (fractional)
H: 0.0000 0.0000 0.0000  4 Ir 2.00, 2 Ru 2.04
Ir: 0.0000 0.5000 0.0000  2 H 2.00
Ir: 0.5000 0.0000 0.0000  2 H 2.00
Ru: 0.0000 0.0000 0.5000  2 H 2.04
Sn: 0.5000 0.5000 0.5000  4 Ru 2.82, 8 Ir 2.86

The density of states at the Fermi level comes out at 1.07 states/eV per atom. The calculation puts the uncorrected energy at -6.80 eV per atom.


Record 2
The following is a DFT calculation (PBE) of an optimized crystal structure of PHCl2F.

Unit cell a=5.4095 b=5.4095 c=3.6005 alpha=90.00 beta=90.00 gamma=90.00
Closest atoms and distances in Å follow each position.
Element x y z (fractional)
Cl: 0.5000 0.0000 0.0000  2 F 2.70
Cl: 0.0000 0.5000 0.0000  2 F 2.70
P: 0.0000 0.0000 0.5000  2 F 1.80
F: 0.0000 0.0000 0.0000  2 P 1.80
H: 0.5000 0.5000 0.5000  8 Cl 3.25, 2 H 3.60

The density of states at the Fermi level comes out at 0.69 states/eV per atom. The calculation puts the uncorrected energy at -2.26 eV per atom.


Record 3
The following is a DFT calculation (PBE) of an optimized crystal structure of LiDyZrPt.

Unit cell a=4.8439 b=4.8439 c=4.8439 alpha=60.00 beta=60.00 gamma=60.00
Closest atoms and distances in Å follow each position.
Element x y z (fractional)
Pt: 0.5000 0.5000 0.5000  4 Zr 2.97, 4 Dy 2.97
Zr: 0.7500 0.7500 0.7500  4 Pt 2.97, 4 Li 2.97
Li: 0.0000 0.0000 0.0000  4 Dy 2.97, 4 Zr 2.97
Dy: 0.2500 0.2500 0.2500  4 Li 2.97, 4 Pt 2.97

The density of states at the Fermi level comes out at 0.91 states/eV per atom. The calculation puts the uncorrected energy at -5.77 eV per atom.


Record 4
The following is a DFT calculation (PBE) of an optimized crystal structure of Zr3TcGe.

Unit cell a=4.9853 b=4.9853 c=4.9853 alpha=90.00 beta=90.00 gamma=90.00
Closest atoms and distances in Å follow each position.
Element x y z (fractional)
Zr: 0.0000 0.0000 0.5000  2 Tc 2.49
Zr: 0.0000 0.5000 0.0000  2 Tc 2.49
Zr: 0.5000 0.0000 0.0000  2 Tc 2.49
Ge: 0.5000 0.5000 0.5000  12 Zr 3.53
Tc: 0.0000 0.0000 0.0000  6 Zr 2.49

The density of states at the Fermi level comes out at 1.72 states/eV per atom. The calculation puts the uncorrected energy at -7.69 eV per atom.